Material: Cs2Cd2Pt
Method: DFT, PBE
State: optimized geometry

E, eV/atom: -2.085
E above lowest polymorph, meV per atom: 0
Total moment, μB/f.u.: 0.00
Fermi-level density of states, states/eV per cell: 7.14
DFT formation energy, eV per atom: -0.169

a b c (Å): 4.8274 4.8274 34.5336
angles (deg): 90.00 90.00 120.00
Space group R-3m (No. 166, hexagonal axes)
Inequivalent atoms, fractional coordinates:
Cs: 0.0000 0.0000 0.0746
Cd: 0.0000 0.0000 0.1820
Pt: 0.0000 0.0000 0.5000